No. 1
CdIF3 | PBE | relaxed

The structure in POSCAR format:
```
CdIF3
1.0
4.745 0.000 0.000
0.000 4.745 0.000
0.000 0.000 4.745
Cd I F
1 1 3
Direct
0.000 0.000 0.000
0.500 0.500 0.500
0.000 0.500 0.500
0.500 0.000 0.500
0.500 0.500 0.000
```

Raw formation energy ... -70.6 kJ per mole of atoms
Crystal system ... cubic
Symmetry ... Pm-3m, No. 221
Polymorph energy (0 for the lowest one) ... 534 meV per atom


No. 2
Cd2I3F | PBE | relaxed

The structure in POSCAR format:
```
Cd2I3F
1.0
4.207 0.000 0.000
2.017 9.643 0.000
2.011 3.226 11.394
Cd I F
4 6 2
Direct
0.212 0.172 0.407
0.281 0.589 0.846
0.719 0.411 0.154
0.788 0.828 0.593
0.108 0.486 0.312
0.337 0.299 0.019
0.359 0.873 0.400
0.641 0.127 0.600
0.663 0.701 0.981
0.892 0.514 0.688
0.250 0.799 0.701
0.750 0.201 0.299
```

Raw formation energy ... -92.9 kJ per mole of atoms
Crystal system ... triclinic
Symmetry ... P-1, No. 2


No. 3
Cd2I2F | PBE | relaxed

The structure in POSCAR format:
```
Cd2I2F
1.0
6.161 0.000 0.000
0.000 6.161 0.000
0.000 0.000 7.742
Cd I F
4 4 2
Direct
0.000 0.000 0.213
0.000 0.000 0.787
0.500 0.500 0.287
0.500 0.500 0.713
0.000 0.500 0.250
0.000 0.500 0.750
0.500 0.000 0.250
0.500 0.000 0.750
0.000 0.000 0.500
0.500 0.500 0.000
```

Raw formation energy ... -73.4 kJ per mole of atoms
Crystal system ... tetragonal
Symmetry ... I4/mmm, No. 139


No. 4
Cd5I3F12 | PBE | relaxed

The structure in POSCAR format:
```
Cd5I3F12
1.0
-7.486 7.486 7.486
7.486 -7.486 7.486
7.486 7.486 -7.486
Cd I F
20 12 48
Direct
0.000 0.000 0.000
0.000 0.000 0.500
0.000 0.500 0.000
0.000 0.500 0.500
0.125 0.750 0.875
0.125 0.875 0.250
0.250 0.125 0.875
0.250 0.625 0.375
0.375 0.250 0.625
0.375 0.625 0.750
0.500 0.000 0.000
0.500 0.000 0.500
0.500 0.500 0.000
0.500 0.500 0.500
0.625 0.375 0.250
0.625 0.750 0.375
0.750 0.375 0.625
0.750 0.875 0.125
0.875 0.125 0.750
0.875 0.250 0.125
0.125 0.250 0.375
0.125 0.375 0.750
0.250 0.375 0.125
0.250 0.875 0.625
0.375 0.125 0.250
0.375 0.750 0.125
0.625 0.250 0.875
0.625 0.875 0.750
0.750 0.125 0.375
0.750 0.625 0.875
0.875 0.625 0.250
0.875 0.750 0.625
0.007 0.638 0.672
0.007 0.869 0.335
0.034 0.672 0.165
0.034 0.862 0.869
0.131 0.665 0.993
0.131 0.966 0.138
0.138 0.131 0.966
0.138 0.507 0.172
0.165 0.034 0.672
0.165 0.631 0.493
0.172 0.138 0.507
0.172 0.534 0.665
0.328 0.835 0.966
0.328 0.993 0.362
0.335 0.007 0.869
0.335 0.828 0.466
0.362 0.328 0.993
0.362 0.534 0.369
0.369 0.362 0.534
0.369 0.507 0.835
0.466 0.335 0.828
0.466 0.631 0.638
0.493 0.165 0.631
0.493 0.828 0.862
0.507 0.172 0.138
0.507 0.835 0.369
0.534 0.369 0.362
0.534 0.665 0.172
0.631 0.493 0.165
0.631 0.638 0.466
0.638 0.466 0.631
0.638 0.672 0.007
0.665 0.172 0.534
0.665 0.993 0.131
0.672 0.007 0.638
0.672 0.165 0.034
0.828 0.466 0.335
0.828 0.862 0.493
0.835 0.369 0.507
0.835 0.966 0.328
0.862 0.493 0.828
0.862 0.869 0.034
0.869 0.034 0.862
0.869 0.335 0.007
0.966 0.138 0.131
0.966 0.328 0.835
0.993 0.131 0.665
0.993 0.362 0.328
```

Raw formation energy ... -142.6 kJ per mole of atoms
Crystal system ... cubic
Symmetry ... Ia-3d, No. 230


No. 5
Cd5I12F3 | PBE | relaxed

The structure in POSCAR format:
```
Cd5I12F3
1.0
-8.956 8.956 8.956
8.956 -8.956 8.956
8.956 8.956 -8.956
Cd I F
20 48 12
Direct
0.000 0.000 0.000
0.000 0.000 0.500
0.000 0.500 0.000
0.000 0.500 0.500
0.125 0.750 0.875
0.125 0.875 0.250
0.250 0.125 0.875
0.250 0.625 0.375
0.375 0.250 0.625
0.375 0.625 0.750
0.500 0.000 0.000
0.500 0.000 0.500
0.500 0.500 0.000
0.500 0.500 0.500
0.625 0.375 0.250
0.625 0.750 0.375
0.750 0.375 0.625
0.750 0.875 0.125
0.875 0.125 0.750
0.875 0.250 0.125
0.044 0.225 0.112
0.044 0.319 0.932
0.068 0.612 0.387
0.068 0.956 0.681
0.112 0.044 0.225
0.112 0.568 0.887
0.113 0.725 0.681
0.113 0.888 0.432
0.181 0.225 0.613
0.181 0.456 0.568
0.225 0.112 0.044
0.225 0.613 0.181
0.275 0.319 0.887
0.275 0.456 0.388
0.319 0.887 0.275
0.319 0.932 0.044
0.387 0.068 0.612
0.387 0.819 0.775
0.388 0.275 0.456
0.388 0.613 0.932
0.432 0.113 0.888
0.432 0.819 0.544
0.456 0.388 0.275
0.456 0.568 0.181
0.544 0.432 0.819
0.544 0.612 0.725
0.568 0.181 0.456
0.568 0.887 0.112
0.612 0.387 0.068
0.612 0.725 0.544
0.613 0.181 0.225
0.613 0.932 0.388
0.681 0.068 0.956
0.681 0.113 0.725
0.725 0.544 0.612
0.725 0.681 0.113
0.775 0.387 0.819
0.775 0.888 0.956
0.819 0.544 0.432
0.819 0.775 0.387
0.887 0.112 0.568
0.887 0.275 0.319
0.888 0.432 0.113
0.888 0.956 0.775
0.932 0.044 0.319
0.932 0.388 0.613
0.956 0.681 0.068
0.956 0.775 0.888
0.125 0.250 0.375
0.125 0.375 0.750
0.250 0.375 0.125
0.250 0.875 0.625
0.375 0.125 0.250
0.375 0.750 0.125
0.625 0.250 0.875
0.625 0.875 0.750
0.750 0.125 0.375
0.750 0.625 0.875
0.875 0.625 0.250
0.875 0.750 0.625
```

Raw formation energy ... -31.5 kJ per mole of atoms
Crystal system ... cubic
Symmetry ... Ia-3d, No. 230


No. 6
CdI2F | PBE | relaxed

The structure in POSCAR format:
```
CdI2F
1.0
7.033 0.000 0.000
0.000 7.033 0.000
0.000 0.000 11.358
Cd I F
4 8 4
Direct
0.000 0.000 0.000
0.000 0.500 0.250
0.500 0.000 0.750
0.500 0.500 0.500
0.248 0.250 0.125
0.250 0.748 0.375
0.250 0.752 0.875
0.252 0.250 0.625
0.748 0.750 0.625
0.750 0.248 0.875
0.750 0.252 0.375
0.752 0.750 0.125
0.000 0.000 0.500
0.000 0.500 0.750
0.500 0.000 0.250
0.500 0.500 0.000
```

Raw formation energy ... -44.4 kJ per mole of atoms
Crystal system ... tetragonal
Symmetry ... I-42d, No. 122
Polymorph energy (0 for the lowest one) ... 0 meV per atom


No. 7
CdIF3 | PBE | relaxed

The structure in POSCAR format:
```
CdIF3
1.0
4.508 0.000 0.000
0.000 4.508 0.000
0.000 0.000 4.508
Cd I F
1 1 3
Direct
0.000 0.000 0.000
0.500 0.500 0.500
0.000 0.000 0.500
0.000 0.500 0.000
0.500 0.000 0.000
```

Raw formation energy ... -122.1 kJ per mole of atoms
Crystal system ... cubic
Symmetry ... Pm-3m, No. 221
Polymorph energy (0 for the lowest one) ... 0 meV per atom


No. 8
CdI2F | PBE | relaxed

The structure in POSCAR format:
```
CdI2F
1.0
7.326 0.000 0.000
0.000 7.326 0.000
0.000 0.000 7.326
Cd I F
4 8 4
Direct
0.000 0.000 0.000
0.000 0.500 0.500
0.500 0.000 0.500
0.500 0.500 0.000
0.250 0.250 0.250
0.250 0.250 0.750
0.250 0.750 0.250
0.250 0.750 0.750
0.750 0.250 0.250
0.750 0.250 0.750
0.750 0.750 0.250
0.750 0.750 0.750
0.000 0.000 0.500
0.000 0.500 0.000
0.500 0.000 0.000
0.500 0.500 0.500
```

Raw formation energy ... -32.8 kJ per mole of atoms
Crystal system ... cubic
Symmetry ... Fm-3m, No. 225
Polymorph energy (0 for the lowest one) ... 120 meV per atom


No. 9
KCdI2F | PBE | relaxed

The structure in POSCAR format:
```
KCdI2F
1.0
6.057 0.000 0.000
0.000 6.057 0.000
0.000 0.000 4.439
K Cd I F
1 1 2 1
Direct
0.000 0.000 0.000
0.500 0.500 0.500
0.000 0.500 0.500
0.500 0.000 0.500
0.500 0.500 0.000
```

Raw formation energy ... -130.6 kJ per mole of atoms
Crystal system ... tetragonal
Symmetry ... P4/mmm, No. 123


What did the sixth record say?
CdI2F | PBE | relaxed

The structure in POSCAR format:
```
CdI2F
1.0
7.033 0.000 0.000
0.000 7.033 0.000
0.000 0.000 11.358
Cd I F
4 8 4
Direct
0.000 0.000 0.000
0.000 0.500 0.250
0.500 0.000 0.750
0.500 0.500 0.500
0.248 0.250 0.125
0.250 0.748 0.375
0.250 0.752 0.875
0.252 0.250 0.625
0.748 0.750 0.625
0.750 0.248 0.875
0.750 0.252 0.375
0.752 0.750 0.125
0.000 0.000 0.500
0.000 0.500 0.750
0.500 0.000 0.250
0.500 0.500 0.000
```

Raw formation energy ... -44.4 kJ per mole of atoms
Crystal system ... tetragonal
Symmetry ... I-42d, No. 122
Polymorph energy (0 for the lowest one) ... 0 meV per atom